[1]
The following is a DFT calculation (GGA-PBEsol) of an optimized crystal structure of NdCoO3.

abc: 5.332 7.501 5.300
angles: 90.00 90.00 90.00
Sites, in units of the cell vectors:
Nd  0.045  0.250  0.009
Nd  0.455  0.750  0.509
Nd  0.545  0.250  0.491
Nd  0.955  0.750  0.991
Co  0.000  0.000  0.500
Co  0.000  0.500  0.500
Co  0.500  0.000  0.000
Co  0.500  0.500  0.000
O  0.008  0.750  0.426
O  0.212  0.539  0.788
O  0.212  0.961  0.788
O  0.288  0.039  0.288
O  0.288  0.461  0.288
O  0.492  0.250  0.926
O  0.508  0.750  0.074
O  0.712  0.539  0.712
O  0.712  0.961  0.712
O  0.788  0.039  0.212
O  0.788  0.461  0.212
O  0.992  0.250  0.574

Its space group is No. 62.

[2]
The following is a DFT calculation (GGA-PBEsol) of an optimized crystal structure of Nd2CoRuO6.

abc: 5.241 5.717 9.177
angles: 90.00 124.45 90.00
Sites, in units of the cell vectors:
Nd  0.228  0.070  0.251
Nd  0.228  0.430  0.751
Nd  0.772  0.570  0.249
Nd  0.772  0.930  0.749
Co  0.500  0.000  0.000
Co  0.500  0.500  0.500
Ru  0.000  0.000  0.500
Ru  0.000  0.500  0.000
O  0.151  0.194  0.955
O  0.151  0.306  0.455
O  0.266  0.708  0.953
O  0.266  0.792  0.453
O  0.347  0.027  0.755
O  0.347  0.473  0.255
O  0.653  0.527  0.745
O  0.653  0.973  0.245
O  0.734  0.208  0.547
O  0.734  0.292  0.047
O  0.849  0.694  0.545
O  0.849  0.806  0.045

Its space group is No. 14.

[3]
The following is a DFT calculation (GGA-PBEsol) of an optimized crystal structure of Sr3NdCo2O8.

abc: 5.292 6.681 6.681
angles: 46.67 90.00 90.00
Sites, in units of the cell vectors:
Sr  0.000  0.000  0.000
Sr  0.000  0.285  0.285
Sr  0.500  0.789  0.789
Nd  0.500  0.506  0.506
Co  0.000  0.646  0.646
Co  0.500  0.147  0.147
O  0.000  0.484  0.484
O  0.000  0.801  0.801
O  0.255  0.394  0.885
O  0.255  0.885  0.394
O  0.500  0.312  0.312
O  0.500  0.987  0.987
O  0.745  0.394  0.885
O  0.745  0.885  0.394

Its space group is No. 38.

no.,D(E_F) (states/eV per cell),calculated total energy (eV per atom),formation energy (no corrections) (eV per atom)
1,6.6,-7.986,-2.26
2,7.8,-8.175,-2.20
3,7.0,-7.153,-2.29